Entry 1:
An optimized crystal structure of NaGdCdSe3. Source: OQMD, functional PBE.

a b c (Å): 9.118 9.118 9.081
angles (deg): 105.06 105.06 26.29
Atoms (fractional coordinates):
Na  0.131  0.131  0.072
Na  0.869  0.869  0.928
Gd  0.177  0.177  0.601
Gd  0.823  0.823  0.399
Cd  0.485  0.485  0.280
Cd  0.515  0.515  0.720
Se  0.000  0.000  0.500
Se  0.325  0.325  0.182
Se  0.339  0.339  0.632
Se  0.500  0.500  0.000
Se  0.661  0.661  0.368
Se  0.675  0.675  0.818

Summary:
* energy: -0.3017 Ry per atom

=====

Entry 2:
An optimized crystal structure of NaGdCdSe3. Source: OQMD, functional PBE.

a b c (Å): 8.266 4.233 10.369
angles (deg): 90.00 105.18 90.00
Atoms (fractional coordinates):
Na  0.193  0.250  0.174
Na  0.807  0.750  0.826
Gd  0.325  0.750  0.857
Gd  0.675  0.250  0.143
Cd  0.079  0.250  0.607
Cd  0.921  0.750  0.393
Se  0.079  0.250  0.862
Se  0.250  0.750  0.552
Se  0.438  0.750  0.145
Se  0.562  0.250  0.855
Se  0.750  0.250  0.448
Se  0.921  0.750  0.138

Summary:
* energy: -0.3050 Ry per atom

=====

Entry 3:
An optimized crystal structure of NaGdCdSe3. Source: OQMD, functional PBE.

a b c (Å): 7.226 7.226 11.141
angles (deg): 90.00 90.00 146.42
Atoms (fractional coordinates):
Na  0.245  0.755  0.750
Na  0.755  0.245  0.250
Gd  0.000  0.000  0.000
Gd  0.000  0.000  0.500
Cd  0.468  0.532  0.250
Cd  0.532  0.468  0.750
Se  0.088  0.912  0.250
Se  0.360  0.640  0.058
Se  0.360  0.640  0.442
Se  0.640  0.360  0.558
Se  0.640  0.360  0.942
Se  0.912  0.088  0.750

Summary:
* energy: -0.3035 Ry per atom

=====

Entry 4:
An optimized crystal structure of NaGdCdSe3. Source: OQMD, functional PBE.

a b c (Å): 12.604 4.190 12.294
angles (deg): 90.00 90.00 90.00
Atoms (fractional coordinates):
Na  0.130  0.250  0.004
Na  0.370  0.750  0.504
Na  0.630  0.250  0.496
Na  0.870  0.750  0.996
Gd  0.046  0.250  0.669
Gd  0.454  0.750  0.169
Gd  0.546  0.250  0.831
Gd  0.954  0.750  0.331
Cd  0.236  0.250  0.285
Cd  0.264  0.750  0.785
Cd  0.736  0.250  0.215
Cd  0.764  0.750  0.715
Se  0.059  0.750  0.841
Se  0.082  0.250  0.426
Se  0.227  0.750  0.148
Se  0.273  0.250  0.648
Se  0.418  0.750  0.926
Se  0.441  0.250  0.341
Se  0.559  0.750  0.659
Se  0.582  0.250  0.074
Se  0.727  0.750  0.352
Se  0.773  0.250  0.852
Se  0.918  0.750  0.574
Se  0.941  0.250  0.159

Summary:
* energy: -0.3034 Ry per atom

=====

Entry 5:
An optimized crystal structure of NdGdCd2. Source: OQMD, functional PBE.

a b c (Å): 5.379 5.379 5.379
angles (deg): 60.00 60.00 60.00
Atoms (fractional coordinates):
Nd  0.000  0.000  0.000
Gd  0.500  0.500  0.500
Cd  0.250  0.250  0.250
Cd  0.750  0.750  0.750

Summary:
* energy of formation from the pure elements: -0.327 eV/atom
* energy: -0.2300 Ry per atom

=====

Entry 6:
An optimized crystal structure of NdGdCd2. Source: OQMD, functional PBE.

a b c (Å): 3.778 5.406 5.407
angles (deg): 90.00 90.00 90.00
Atoms (fractional coordinates):
Nd  0.000  0.000  0.000
Gd  0.000  0.500  0.504
Cd  0.500  0.000  0.499
Cd  0.500  0.500  0.005

Summary:
* energy of formation from the pure elements: -0.325 eV/atom
* energy: -0.2299 Ry per atom

=====

Entry 7:
An optimized crystal structure of NdGdTl2Cd2. Source: OQMD, functional PBE.

a b c (Å): 4.929 4.929 7.620
angles (deg): 90.00 90.00 120.00
Atoms (fractional coordinates):
Nd  0.000  0.000  0.000
Gd  0.000  0.000  0.500
Tl  0.333  0.667  0.789
Tl  0.667  0.333  0.295
Cd  0.333  0.667  0.214
Cd  0.667  0.333  0.706

Summary:
* energy: -0.2212 Ry per atom

=====

Entry 8:
An optimized crystal structure of NdGd2Tl2Cd4. Source: OQMD, functional PBE.

a b c (Å): 4.624 7.659 7.659
angles (deg): 120.50 90.00 90.00
Atoms (fractional coordinates):
Nd  0.000  0.000  0.000
Gd  0.000  0.423  0.848
Gd  0.000  0.848  0.423
Tl  0.500  0.092  0.755
Tl  0.500  0.755  0.092
Cd  0.000  0.429  0.429
Cd  0.500  0.186  0.425
Cd  0.500  0.425  0.186
Cd  0.500  0.664  0.664

Summary:
* energy: -0.2091 Ry per atom

=====

Entry 9:
An optimized crystal structure of Gd4CdNi. Source: OQMD, functional PBE.

a b c (Å): 9.619 9.619 9.619
angles (deg): 60.00 60.00 60.00
Atoms (fractional coordinates):
Gd  0.186  0.186  0.814
Gd  0.186  0.814  0.186
Gd  0.186  0.814  0.814
Gd  0.402  0.402  0.402
Gd  0.402  0.402  0.795
Gd  0.402  0.795  0.402
Gd  0.561  0.561  0.939
Gd  0.561  0.939  0.561
Gd  0.561  0.939  0.939
Gd  0.795  0.402  0.402
Gd  0.814  0.186  0.186
Gd  0.814  0.186  0.814
Gd  0.814  0.814  0.186
Gd  0.939  0.561  0.561
Gd  0.939  0.561  0.939
Gd  0.939  0.939  0.561
Cd  0.169  0.169  0.169
Cd  0.169  0.169  0.493
Cd  0.169  0.493  0.169
Cd  0.493  0.169  0.169
Ni  0.178  0.607  0.607
Ni  0.607  0.178  0.607
Ni  0.607  0.607  0.178
Ni  0.607  0.607  0.607

Summary:
* energy of formation from the pure elements: -0.293 eV/atom
* energy: -0.3288 Ry per atom

=====

Entry 10:
An optimized crystal structure of Gd4Cd3Ni2. Source: OQMD, functional PBE.

a b c (Å): 7.442 3.640 8.167
angles (deg): 90.00 107.71 90.00
Atoms (fractional coordinates):
Gd  0.084  0.000  0.218
Gd  0.393  0.000  0.683
Gd  0.607  0.000  0.317
Gd  0.916  0.000  0.782
Cd  0.000  0.500  0.500
Cd  0.299  0.500  0.005
Cd  0.701  0.500  0.995
Ni  0.343  0.500  0.392
Ni  0.657  0.500  0.608

Summary:
* energy of formation from the pure elements: -0.404 eV/atom
* energy: -0.2946 Ry per atom

=====

Entry 11:
An optimized crystal structure of GdCd2O3. Source: OQMD, functional PBE.

a b c (Å): 3.494 3.494 8.414
angles (deg): 90.00 90.00 120.00
Atoms (fractional coordinates):
Gd  0.000  0.000  0.000
Cd  0.333  0.667  0.650
Cd  0.667  0.333  0.350
O  0.000  0.000  0.500
O  0.333  0.667  0.135
O  0.667  0.333  0.865

Summary:
* energy: -0.3900 Ry per atom

=====

Entry 12:
An optimized crystal structure of RbGdCdO3. Source: OQMD, functional PBE.

a b c (Å): 6.968 6.968 9.263
angles (deg): 90.00 90.00 149.88
Atoms (fractional coordinates):
Rb  0.191  0.809  0.750
Rb  0.809  0.191  0.250
Gd  0.500  0.500  0.000
Gd  0.500  0.500  0.500
Cd  0.090  0.910  0.250
Cd  0.910  0.090  0.750
O  0.109  0.891  0.026
O  0.109  0.891  0.474
O  0.478  0.522  0.250
O  0.522  0.478  0.750
O  0.891  0.109  0.526
O  0.891  0.109  0.974

Summary:
* energy: -0.4095 Ry per atom